DFT (GGA-PBE) results for a relaxed structure of Si2TcW.

The structure in POSCAR format:
```
Si2TcW
1.0
-5.726 0.005 1.015
-4.535 -1.526 -3.305
5.191 -1.327 2.260
Si Tc W
2 1 1
Direct
0.963 0.963 0.000
0.713 0.213 0.500
0.532 0.532 0.000
0.292 0.792 0.500
```

Properties
ΔE to the lowest computed polymorph: 3.01 kcal/mol of atoms
formation energy from raw total energies: -0.25 eV/atom
DOS(E_F): 1.5 states/eV/cell
symmetry: Imm2
total energy: -0.646 Ry per atom